1.
# UN4F8, relaxed, DFT PBE
# - Raw total energy: -0.38494 Ry per atom
# - Volume: 21.9 Å³/atom
data_UN4F8
_chemical_formula_sum 'U4 N16 F32'
_cell_length_a 14.960
_cell_length_b 6.645
_cell_length_c 12.377
_cell_angle_alpha 90.00
_cell_angle_beta 112.26
_cell_angle_gamma 90.00
_symmetry_space_group_name_H-M 'C 1 2/c 1'
_symmetry_Int_Tables_number 15
loop_
_symmetry_equiv_pos_as_xyz
'x,y,z'
'-x,-y,-z'
'-x,y,-z+1/2'
'x,-y,z+1/2'
'x+1/2,y+1/2,z'
'-x+1/2,-y+1/2,-z'
'-x+1/2,y+1/2,-z+1/2'
'x+1/2,-y+1/2,z+1/2'
loop_
_atom_site_label
_atom_site_type_symbol
_atom_site_fract_x
_atom_site_fract_y
_atom_site_fract_z
U1 U 0.000 0.032 0.250
N1 N 0.132 0.490 0.105
N2 N 0.231 0.079 0.579
F1 F 0.038 0.183 0.876
F2 F 0.038 0.249 0.375
F3 F 0.137 0.032 0.253
F4 F 0.221 0.406 0.893


2.
# MgNiGe, relaxed, DFT PBE
# - Raw total energy: -0.31522 Ry per atom
# - Volume: 16.7 Å³/atom
# - Energy of formation: -0.29 eV per atom
data_MgNiGe
_chemical_formula_sum 'Mg6 Ni6 Ge6'
_cell_length_a 4.1590
_cell_length_b 4.1590
_cell_length_c 20.1090
_cell_angle_alpha 90.00
_cell_angle_beta 90.00
_cell_angle_gamma 120.00
_symmetry_space_group_name_H-M 'R -3 m'
_symmetry_Int_Tables_number 166
_symmetry_space_group_name_Hall '-R 3 2"'
loop_
_atom_site_label
_atom_site_type_symbol
_atom_site_fract_x
_atom_site_fract_y
_atom_site_fract_z
Mg1 Mg 0.0000 0.0000 0.0000
Mg2 Mg 0.0001 0.9997 0.5000
Ni1 Ni 0.0000 0.0000 0.3727
Ge1 Ge 0.0000 0.0000 0.2529